# 1
Density functional theory data (GGA-PBE) for crystalline Cu3AsI at its relaxed geometry.

## Properties
**Fermi-level density of states**: 4.92 states/eV per cell
**Offset from the most stable computed form**: 0 meV per atom
**Mass density**: 6.3 g/cm3
**Uncorrected formation energy**: 33 kJ per mole of atoms

POSCAR file:
```
Cu3AsI
1.0
4.6977 0.0000 0.0000
0.0000 4.6977 0.0000
0.0000 0.0000 4.6977
Cu As I
3 1 1
Cartesian
0.0000 0.0000 2.3489
0.0000 2.3489 0.0000
2.3489 0.0000 0.0000
0.0000 0.0000 0.0000
2.3489 2.3489 2.3489
```

---

# 2
Density functional theory data (GGA-PBE) for crystalline Cu2AsI6 at its relaxed geometry.

## Properties
**Fermi-level density of states**: 8.62 states/eV per cell
**Offset from the most stable computed form**: 0 meV per atom
**Mass density**: 4.5 g/cm3
**Uncorrected formation energy**: -13 kJ per mole of atoms

POSCAR file:
```
Cu2AsI6
1.0
8.5671 -2.0324 0.0000
8.5671 2.0324 0.0000
-2.4799 0.0000 10.1063
Cu As I
2 1 6
Cartesian
2.5018 0.0000 3.9219
12.1525 0.0000 6.1844
0.0000 0.0000 0.0000
0.1605 0.0000 2.9278
2.0067 0.0000 6.5806
6.5303 0.0000 0.2098
8.1241 0.0000 9.8965
12.6477 0.0000 3.5257
14.4939 0.0000 7.1785
```

---

# 3
Density functional theory data (GGA-PBE) for crystalline CuAs2I2 at its relaxed geometry.

## Properties
**Fermi-level density of states**: 8.87 states/eV per cell
**Offset from the most stable computed form**: 462 meV per atom
**Mass density**: 5.9 g/cm3
**Uncorrected formation energy**: 45 kJ per mole of atoms

POSCAR file:
```
CuAs2I2
1.0
3.7584 0.0000 0.0000
0.0000 3.7584 0.0000
0.0000 0.0000 18.5073
Cu As I
2 4 4
Cartesian
0.0000 0.0000 0.0000
1.8792 1.8792 9.2537
0.0000 1.8792 4.6268
0.0000 1.8792 13.8805
1.8792 0.0000 4.6268
1.8792 0.0000 13.8805
0.0000 0.0000 7.6014
0.0000 0.0000 10.9060
1.8792 1.8792 1.6523
1.8792 1.8792 16.8550
```

---

# 4
Density functional theory data (GGA-PBE) for crystalline CuAsI6 at its relaxed geometry.

## Properties
**Fermi-level density of states**: 0.87 states/eV per cell
**Mass density**: 4.3 g/cm3
**Uncorrected formation energy**: -1 kJ per mole of atoms

POSCAR file:
```
CuAsI6
1.0
6.1385 0.0000 0.0000
0.7776 7.4306 0.0000
2.6228 2.5571 7.5846
Cu As I
1 1 6
Cartesian
0.0000 0.0000 0.0000
3.4580 3.7153 0.0000
1.5827 5.4725 1.4248
1.9396 1.4242 1.0605
5.1119 6.7472 4.9685
4.4270 3.2404 2.6161
7.5993 8.5635 6.5242
7.9562 4.5151 6.1598
```

---

# 5
Density functional theory data (GGA-PBE) for crystalline CuAs2I at its relaxed geometry.

## Properties
**Fermi-level density of states**: 7.03 states/eV per cell
**Offset from the most stable computed form**: 0 meV per atom
**Mass density**: 5.2 g/cm3
**Uncorrected formation energy**: 44 kJ per mole of atoms

POSCAR file:
```
CuAs2I
1.0
6.5077 0.0000 0.0000
0.0000 6.5077 0.0000
0.0000 0.0000 10.2436
Cu As I
4 8 4
Cartesian
0.0000 0.0000 0.0000
0.0000 3.2538 2.5609
3.2538 0.0000 7.6827
3.2538 3.2538 5.1218
1.0436 1.6269 1.2805
1.6269 4.2974 3.8414
1.6269 5.4641 8.9632
2.2102 1.6269 6.4023
4.2974 4.8807 6.4023
4.8807 1.0436 8.9632
4.8807 2.2102 3.8414
5.4641 4.8807 1.2805
0.0000 0.0000 5.1218
0.0000 3.2538 7.6827
3.2538 0.0000 2.5609
3.2538 3.2538 0.0000
```

---

# 6
Density functional theory data (GGA-PBE) for crystalline CuAsI4 at its relaxed geometry.

## Properties
**Fermi-level density of states**: 0.32 states/eV per cell
**Offset from the most stable computed form**: 0 meV per atom
**Mass density**: 5.0 g/cm3
**Uncorrected formation energy**: -8 kJ per mole of atoms

POSCAR file:
```
CuAsI4
1.0
7.2664 0.0000 0.0000
0.0000 4.0634 0.0000
-0.4767 0.0000 7.3136
Cu As I
1 1 4
Cartesian
0.0000 0.0000 0.0000
-0.2383 2.0317 3.6568
1.4243 2.0317 1.2847
1.4502 0.0000 4.8588
5.3396 0.0000 2.4548
5.3655 2.0317 6.0289
```

---

# 7
Density functional theory data (GGA-PBE) for crystalline Cu2AsI6 at its relaxed geometry.

## Properties
**Fermi-level density of states**: 6.62 states/eV per cell
**Offset from the most stable computed form**: 17 meV per atom
**Mass density**: 3.8 g/cm3
**Uncorrected formation energy**: -11 kJ per mole of atoms

POSCAR file:
```
Cu2AsI6
1.0
7.8680 -7.3025 0.0000
7.8680 7.3025 0.0000
-2.6881 0.0000 7.2485
Cu As I
4 2 12
Cartesian
2.8782 0.4573 2.1598
1.5342 -0.4573 5.7841
11.5138 0.4573 1.4645
10.1697 -0.4573 5.0887
5.8519 1.5467 5.4364
7.1960 -1.5467 1.8121
-0.5512 0.0650 7.0234
0.7929 -0.0650 3.3991
3.8944 3.1861 5.9602
5.1923 1.2933 2.5496
7.8095 3.1861 4.9126
3.8483 -1.2933 6.1739
9.1997 1.2933 1.0746
5.2385 -3.1861 2.3360
7.8556 -1.2933 4.6989
9.1535 -3.1861 1.2883
12.2551 0.0650 3.8494
13.5991 -0.0650 0.2252
```

---

# 8
Density functional theory data (GGA-PBE) for crystalline Cu2AsI at its relaxed geometry.

## Properties
**Fermi-level density of states**: 9.54 states/eV per cell
**Offset from the most stable computed form**: 0 meV per atom
**Mass density**: 5.8 g/cm3
**Uncorrected formation energy**: 11 kJ per mole of atoms

POSCAR file:
```
Cu2AsI
1.0
4.1344 0.0000 0.0000
-2.0672 3.5805 0.0000
0.0000 0.0000 18.9228
Cu As I
6 3 3
Cartesian
0.0000 0.0000 2.6111
0.0000 0.0000 16.3118
0.0000 2.3870 10.0041
0.0000 2.3870 15.2263
2.0672 1.1935 3.6965
2.0672 1.1935 8.9187
0.0000 0.0000 9.4614
0.0000 2.3870 3.1538
2.0672 1.1935 15.7690
0.0000 0.0000 0.0000
0.0000 2.3870 12.6152
2.0672 1.1935 6.3076
```

---

# 9
Density functional theory data (GGA-PBE) for crystalline Cu2AsI at its relaxed geometry.

## Properties
**Fermi-level density of states**: 9.51 states/eV per cell
**Offset from the most stable computed form**: 580 meV per atom
**Mass density**: 7.3 g/cm3
**Uncorrected formation energy**: 67 kJ per mole of atoms

POSCAR file:
```
Cu2AsI
1.0
6.6827 0.0000 0.0000
0.0000 6.6827 0.0000
0.0000 0.0000 6.6827
Cu As I
8 4 4
Cartesian
1.6707 1.6707 1.6707
1.6707 1.6707 5.0120
1.6707 5.0120 1.6707
1.6707 5.0120 5.0120
5.0120 1.6707 1.6707
5.0120 1.6707 5.0120
5.0120 5.0120 1.6707
5.0120 5.0120 5.0120
0.0000 0.0000 0.0000
0.0000 3.3413 3.3413
3.3413 0.0000 3.3413
3.3413 3.3413 0.0000
0.0000 0.0000 3.3413
0.0000 3.3413 0.0000
3.3413 0.0000 0.0000
3.3413 3.3413 3.3413
```

---

# 10
Density functional theory data (GGA-PBE) for crystalline Cu2AsI8 at its relaxed geometry.

## Properties
**Fermi-level density of states**: 16.37 states/eV per cell
**Mass density**: 4.1 g/cm3
**Uncorrected formation energy**: -7 kJ per mole of atoms

POSCAR file:
```
Cu2AsI8
1.0
6.0033 -6.1928 0.0000
6.0033 6.1928 0.0000
-2.1167 0.0000 6.6080
Cu As I
2 1 8
Cartesian
1.9444 0.0000 1.1623
7.9456 0.0000 5.4456
-1.0583 0.0000 3.3040
3.3444 4.1895 4.5782
0.9291 0.0000 5.4669
6.5455 4.1895 2.0297
4.4505 0.0000 1.9476
5.4395 0.0000 4.6604
3.3444 -4.1895 4.5782
8.9609 0.0000 1.1410
6.5455 -4.1895 2.0297
```

---

# 11
Density functional theory data (GGA-PBE) for crystalline CuAs2I8 at its relaxed geometry.

## Properties
**Fermi-level density of states**: 2.40 states/eV per cell
**Mass density**: 3.7 g/cm3
**Uncorrected formation energy**: -5 kJ per mole of atoms

POSCAR file:
```
CuAs2I8
1.0
6.8463 -4.7432 0.0000
6.8463 4.7432 0.0000
-0.4426 0.0000 8.5175
Cu As I
1 2 8
Cartesian
0.0000 0.0000 0.0000
2.4106 0.0000 3.0530
10.8394 0.0000 5.4645
4.9710 2.8241 7.3891
2.2034 0.0000 5.7562
8.2790 2.8241 1.1284
4.9691 0.0000 2.7268
8.2809 0.0000 5.7907
4.9710 -2.8241 7.3891
11.0467 0.0000 2.7613
8.2790 -2.8241 1.1284
```

---

# 12
Density functional theory data (GGA-PBE) for crystalline Cu2AsI5 at its relaxed geometry.

## Properties
**Mass density**: 4.2 g/cm3
**Uncorrected formation energy**: -9 kJ per mole of atoms

POSCAR file:
```
Cu2AsI5
1.0
12.6492 0.0000 0.0000
0.0000 7.9931 0.0000
-4.1398 0.0000 6.5982
Cu As I
4 2 10
Cartesian
0.0000 1.6075 0.0000
0.0000 6.3856 0.0000
6.3246 2.3890 0.0000
6.3246 5.6041 0.0000
-0.0984 0.0000 3.3110
6.2262 3.9965 3.3110
-2.7359 0.0000 5.0693
1.2180 2.0872 2.2510
1.2180 5.9059 2.2510
4.3504 3.9965 0.7202
1.5219 0.0000 5.6183
3.5887 3.9965 5.0693
7.5426 1.9094 2.2510
7.5426 6.0837 2.2510
10.6750 0.0000 0.7202
7.8465 3.9965 5.6183
```

---

Question: Which of these has the highest mass density?
Answer: number 9